No. 1
Rb2Cd4Ni after structural relaxation. Source: Alexandria via LeMat-Bulk, functional PBE.

Unit cell a=5.1868 b=5.1868 c=18.8988 alpha=90.00 beta=90.00 gamma=90.00
With the nearest neighbours (Å) after each atom.
Element x y z (fractional)
Rb: 0.0000 0.0000 0.1588  9 Cd 3.70-3.97
Rb: 0.0000 0.0000 0.8412  9 Cd 3.70-3.97
Rb: 0.5000 0.5000 0.3412  9 Cd 3.70-3.97
Rb: 0.5000 0.5000 0.6588  9 Cd 3.70-3.97
Cd: 0.0000 0.0000 0.3669  1 Ni 2.51
Cd: 0.0000 0.0000 0.6331  1 Ni 2.51
Cd: 0.0000 0.5000 0.0000  2 Ni 2.59
Cd: 0.0000 0.5000 0.5000  2 Ni 2.59
Cd: 0.5000 0.0000 0.0000  2 Ni 2.59
Cd: 0.5000 0.0000 0.5000  2 Ni 2.59
Cd: 0.5000 0.5000 0.1331  1 Ni 2.51
Cd: 0.5000 0.5000 0.8669  1 Ni 2.51
Ni: 0.0000 0.0000 0.5000  6 Cd 2.51-2.59
Ni: 0.5000 0.5000 0.0000  6 Cd 2.51-2.59

Output
Total magnetization = 0.00 μB/f.u.
E = -0.059 hartree per atom
Crystal system = tetragonal
Volume = 508.4 Å³/cell
Mass density = 4437 kg/m3


No. 2
BeTl3Cd after structural relaxation. Source: Alexandria via LeMat-Bulk, functional PBE.

Unit cell a=5.1093 b=5.1093 c=5.1093 alpha=90.00 beta=90.00 gamma=90.00
With the nearest neighbours (Å) after each atom.
Element x y z (fractional)
Be: 0.0000 0.0000 0.0000  6 Tl 2.55
Tl: 0.0000 0.0000 0.5000  2 Be 2.55
Tl: 0.0000 0.5000 0.0000  2 Be 2.55
Tl: 0.5000 0.0000 0.0000  2 Be 2.55
Cd: 0.5000 0.5000 0.5000  12 Tl 3.61

Output
Total magnetization = 0.00 μB/f.u.
E = -0.075 hartree per atom
Crystal system = cubic
Volume = 133.4 Å³/cell
Mass density = 9145 kg/m3
Energy above the most stable polymorph in this dataset = 0.000 eV/atom


No. 3
AsS2ClO after structural relaxation. Source: Alexandria via LeMat-Bulk, functional PBE.

Unit cell a=4.2772 b=4.2772 c=4.4784 alpha=90.00 beta=90.00 gamma=90.00
With the nearest neighbours (Å) after each atom.
Element x y z (fractional)
As: 0.0000 0.0000 0.0000  4 Cl 3.02, 8 S 3.10
S: 0.0000 0.5000 0.5000  2 O 2.14
S: 0.5000 0.0000 0.5000  2 O 2.14
Cl: 0.5000 0.5000 0.0000  2 O 2.24
O: 0.5000 0.5000 0.5000  4 S 2.14, 2 Cl 2.24

Output
Raw formation energy = 824 meV per atom
Total magnetization = 0.00 μB/f.u.
E = -0.115 hartree per atom
Crystal system = tetragonal
Volume = 81.9 Å³/cell
Mass density = 3861 kg/m3
Energy above the most stable polymorph in this dataset = 0.391 eV/atom


No. 4
Nd4Cd5Cu2 after structural relaxation. Source: Alexandria via LeMat-Bulk, functional PBE.

Unit cell a=7.7158 b=3.7787 c=9.7680 alpha=90.00 beta=94.04 gamma=90.00
With the nearest neighbours (Å) after each atom.
Element x y z (fractional)
Nd: 0.1677 0.0000 0.3590  2 Cu 3.02, 4 Cd 3.31-3.37
Nd: 0.2372 0.0000 0.9415  4 Cu 3.01, 2 Cd 3.37
Nd: 0.7628 0.0000 0.0585  4 Cu 3.01, 2 Cd 3.37
Nd: 0.8323 0.0000 0.6410  2 Cu 3.02, 4 Cd 3.31-3.37
Cd: 0.1855 0.5000 0.6541  2 Cd 2.94-3.16, 1 Cu 2.95
Cd: 0.4421 0.5000 0.1882  1 Cu 2.96, 2 Cd 3.05-3.16
Cd: 0.5000 0.5000 0.5000  4 Cd 2.94-3.05
Cd: 0.5579 0.5000 0.8118  1 Cu 2.96, 2 Cd 3.05-3.16
Cd: 0.8145 0.5000 0.3459  2 Cd 2.94-3.16, 1 Cu 2.95
Cu: 0.0607 0.5000 0.1275  1 Cu 2.60
Cu: 0.9393 0.5000 0.8725  1 Cu 2.60

Output
Total magnetization = 0.00 μB/f.u.
E = -0.115 hartree per atom
Crystal system = monoclinic
Volume = 284.1 Å³/cell
Mass density = 7401 kg/m3


No. 5
AcSm3Tl3 after structural relaxation. Source: Alexandria via LeMat-Bulk, functional PBE.

Unit cell a=9.8708 b=9.8708 c=5.3410 alpha=90.00 beta=90.00 gamma=120.00
With the nearest neighbours (Å) after each atom.
Element x y z (fractional)
Ac: 0.3333 0.6667 0.2500  9 Tl 3.52-3.63, 3 Sm 3.91
Ac: 0.6667 0.3333 0.7500  9 Tl 3.52-3.63, 3 Sm 3.91
Sm: 0.0069 0.7679 0.7500  4 Tl 3.18-3.52, 4 Sm 3.54
Sm: 0.2321 0.2390 0.7500  4 Tl 3.18-3.52, 4 Sm 3.54
Sm: 0.2390 0.0069 0.2500  4 Tl 3.18-3.52, 4 Sm 3.54
Sm: 0.7610 0.9931 0.7500  4 Tl 3.18-3.52, 4 Sm 3.54
Sm: 0.7679 0.7610 0.2500  4 Tl 3.18-3.52, 4 Sm 3.54
Sm: 0.9931 0.2321 0.2500  4 Tl 3.18-3.52, 4 Sm 3.54
Tl: 0.0651 0.4436 0.7500  4 Sm 3.18-3.52, 2 Tl 3.38, 1 Ac 3.52
Tl: 0.3785 0.9349 0.7500  4 Sm 3.18-3.52, 2 Tl 3.38, 1 Ac 3.52
Tl: 0.4436 0.3785 0.2500  4 Sm 3.18-3.52, 2 Tl 3.38, 1 Ac 3.52
Tl: 0.5564 0.6215 0.7500  4 Sm 3.18-3.52, 2 Tl 3.38, 1 Ac 3.52
Tl: 0.6215 0.0651 0.2500  4 Sm 3.18-3.52, 2 Tl 3.38, 1 Ac 3.52
Tl: 0.9349 0.5564 0.2500  4 Sm 3.18-3.52, 2 Tl 3.38, 1 Ac 3.52

Output
Total magnetization = 0.00 μB/f.u.
E = -0.143 hartree per atom
Crystal system = hexagonal
Volume = 450.7 Å³/cell
Mass density = 9515 kg/m3
Energy above the most stable polymorph in this dataset = 0.000 eV/atom


No. 6
Nd4Al3Cd after structural relaxation. Source: Alexandria via LeMat-Bulk, functional PBE.

Unit cell a=5.3187 b=5.3187 c=7.5573 alpha=90.00 beta=90.00 gamma=90.00
With the nearest neighbours (Å) after each atom.
Element x y z (fractional)
Nd: 0.0000 0.5000 0.2459  6 Al 3.24-3.28, 2 Cd 3.28
Nd: 0.0000 0.5000 0.7541  6 Al 3.24-3.28, 2 Cd 3.28
Nd: 0.5000 0.0000 0.2459  6 Al 3.24-3.28, 2 Cd 3.28
Nd: 0.5000 0.0000 0.7541  6 Al 3.24-3.28, 2 Cd 3.28
Al: 0.0000 0.0000 0.0000  8 Nd 3.24
Al: 0.0000 0.0000 0.5000  8 Nd 3.28
Al: 0.5000 0.5000 0.0000  8 Nd 3.24
Cd: 0.5000 0.5000 0.5000  8 Nd 3.28

Output
Total magnetization = 0.00 μB/f.u.
E = -0.156 hartree per atom
Crystal system = tetragonal
Volume = 213.8 Å³/cell
Mass density = 5983 kg/m3
Energy above the most stable polymorph in this dataset = 0.000 eV/atom


No. 7
Pr6BiP2S3 after structural relaxation. Source: Alexandria via LeMat-Bulk, functional PBE.

Unit cell a=9.4551 b=9.4551 c=8.5031 alpha=102.40 beta=102.40 gamma=25.85
With the nearest neighbours (Å) after each atom.
Element x y z (fractional)
Pr: 0.0040 0.0040 0.2732  3 S 2.87-3.03, 1 P 2.95, 2 Bi 3.13
Pr: 0.3248 0.3248 0.9015  3 S 2.89-3.07, 2 P 2.94, 1 Bi 3.15
Pr: 0.3305 0.3305 0.4209  3 P 2.92-2.96, 3 S 3.04-3.05
Pr: 0.6695 0.6695 0.5791  3 P 2.92-2.96, 3 S 3.04-3.05
Pr: 0.6752 0.6752 0.0985  3 S 2.89-3.07, 2 P 2.94, 1 Bi 3.15
Pr: 0.9960 0.9960 0.7268  3 S 2.87-3.03, 1 P 2.95, 2 Bi 3.13
Bi: 0.5000 0.5000 0.0000  6 Pr 3.13-3.15
P: 0.1680 0.1680 0.3355  6 Pr 2.92-2.96
P: 0.8320 0.8320 0.6645  6 Pr 2.92-2.96
S: 0.1640 0.1640 0.8327  6 Pr 2.89-3.07
S: 0.5000 0.5000 0.5000  6 Pr 2.87-3.05
S: 0.8360 0.8360 0.1673  6 Pr 2.89-3.07

Output
Raw formation energy = -1667 meV per atom
Total magnetization = 0.00 μB/f.u.
E = -0.232 hartree per atom
Crystal system = monoclinic
Volume = 323.2 Å³/cell
Mass density = 6229 kg/m3


No. 8
La2TmTl2Ag2 after structural relaxation. Source: Alexandria via LeMat-Bulk, functional PBE.

Unit cell a=9.7388 b=9.7388 c=9.7388 alpha=29.18 beta=29.18 gamma=29.18
With the nearest neighbours (Å) after each atom.
Element x y z (fractional)
La: 0.1247 0.1247 0.1247  3 Tl 3.25, 1 Tm 3.49, 3 Ag 3.49
La: 0.8753 0.8753 0.8753  3 Tl 3.25, 1 Tm 3.49, 3 Ag 3.49
Tm: 0.0000 0.0000 0.0000  6 Ag 3.18, 6 Tl 3.41, 2 La 3.49
Tl: 0.2653 0.2653 0.2653  3 Ag 2.87
Tl: 0.7347 0.7347 0.7347  3 Ag 2.87
Ag: 0.3851 0.3851 0.3851  3 Tl 2.87, 3 Tm 3.18
Ag: 0.6149 0.6149 0.6149  3 Tl 2.87, 3 Tm 3.18

Output
Total magnetization = 0.18 μB/f.u.
E = -0.138 hartree per atom
Crystal system = trigonal
Volume = 194.3 Å³/cell
Mass density = 9157 kg/m3


- Among the records above, which one has the lowest mass density?
  AsS2ClO